[1]
{
  "formula": "Dy2Co3P4Ir",
  "functional": "PBE",
  "state": "relaxed",
  "energy_ev_per_atom": -7.1252,
  "cell": [[3.949, 0.000, 0.000], [0.000, 3.949, 0.000], [0.000, 0.000, 9.196]],
  "species": ["Dy", "Dy", "Co", "Co", "Co", "P", "P", "P", "P", "Ir"],
  "frac_coords": [[0.500, 0.000, 0.237], [0.000, 0.500, 0.763], [0.000, 0.000, 0.500], [0.500, 0.000, 0.889], [0.000, 0.500, 0.111], [0.500, 0.500, 0.000], [0.000, 0.000, 0.000], [0.500, 0.000, 0.647], [0.000, 0.500, 0.353], [0.500, 0.500, 0.500]]
}

=====

[2]
{
  "formula": "Dy2CoP3Ir4",
  "functional": "PBE",
  "state": "relaxed",
  "energy_ev_per_atom": -7.6759,
  "cell": [[4.058, 0.000, 0.000], [0.000, 4.058, 0.000], [0.000, 0.000, 9.814]],
  "species": ["Dy", "Dy", "Co", "P", "P", "P", "Ir", "Ir", "Ir", "Ir"],
  "frac_coords": [[0.500, 0.000, 0.255], [0.000, 0.500, 0.745], [0.500, 0.500, 0.500], [0.000, 0.000, 0.500], [0.500, 0.000, 0.861], [0.000, 0.500, 0.139], [0.500, 0.500, 0.000], [0.000, 0.000, 0.000], [0.500, 0.000, 0.629], [0.000, 0.500, 0.371]]
}

=====

[3]
{
  "formula": "DyPaCoIr",
  "functional": "PBE",
  "state": "relaxed",
  "energy_ev_per_atom": -7.9257,
  "e_above_lowest_polymorph_mev_per_atom": 173,
  "cell": [[-3.405, 1.222, -3.175], [-1.451, -3.175, -3.313], [-4.386, -1.958, 0.302]],
  "species": ["Pa", "Co", "Dy", "Ir"],
  "frac_coords": [[0.250, 0.250, 0.250], [0.500, 0.500, 0.500], [0.750, 0.750, 0.750], [0.000, 0.000, 0.000]]
}

=====

[4]
{
  "formula": "DyPaCoIr",
  "functional": "PBE",
  "state": "relaxed",
  "energy_ev_per_atom": -8.0986,
  "e_above_lowest_polymorph_mev_per_atom": 0,
  "cell": [[-3.183, 1.765, 0.237], [-1.237, -1.744, -3.641], [-0.504, -5.023, 2.577]],
  "species": ["Dy", "Pa", "Co", "Ir"],
  "frac_coords": [[0.858, 0.500, 0.717], [0.123, 0.000, 0.245], [0.429, 0.000, 0.857], [0.591, 0.500, 0.181]]
}

=====

no.,energy relative to the elements (kJ/mol of atoms)
1,-98.7
2,-84.7
3,-39.5
4,-56.2